Entry from Alexandria: an optimized crystal structure of AcSc2Ga (PBE).

Cell lengths 4.715, 4.715, 6.550 Å; angles 68.91, 68.91, 60.00 degrees
Element x y z (fractional)
1 Ac 0.493 0.493 0.522
2 Sc 0.038 0.038 0.885
3 Sc 0.284 0.284 0.149
4 Ga 0.685 0.685 0.944

Computed properties:
Space-group type: R3m (160)
Formation energy (eV per atom): -0.155
Excess energy over the best structure of this formula in the dataset (meV/atom): 50
Fermi-level density of states (states/eV/cell): 4.41

---

Entry from Alexandria: an optimized crystal structure of AcSmScGa (PBE).

Cell lengths 5.389, 5.389, 5.389 Å; angles 60.00, 60.00, 60.00 degrees
Element x y z (fractional)
1 Sc 0.500 0.500 0.500
2 Ac 0.750 0.750 0.750
3 Ga 0.250 0.250 0.250
4 Sm 0.000 0.000 0.000

Computed properties:
Space-group type: F-43m (216)
Formation energy (eV per atom): 0.049
Fermi-level density of states (states/eV/cell): 7.59

---

Entry from Alexandria: an optimized crystal structure of AcScTlGa (PBE).

Cell lengths 5.375, 5.375, 5.375 Å; angles 60.00, 60.00, 60.00 degrees
Element x y z (fractional)
1 Sc 0.500 0.500 0.500
2 Ac 0.000 0.000 0.000
3 Tl 0.750 0.750 0.750
4 Ga 0.250 0.250 0.250

Computed properties:
Space-group type: F-43m (216)
Formation energy (eV per atom): -0.299
Fermi-level density of states (states/eV/cell): 2.33

---

Entry from Alexandria: an optimized crystal structure of AcTmScGa (PBE).

Cell lengths 5.340, 5.340, 5.340 Å; angles 60.00, 60.00, 60.00 degrees
Site moments in Bohr magnetons follow the coordinates.
Element x y z (fractional)
1 Sc 0.250 0.250 0.250  0.31
2 Ac 0.000 0.000 0.000  0.19
3 Tm 0.750 0.750 0.750  0.27
4 Ga 0.500 0.500 0.500  0.01

Computed properties:
Space-group type: F-43m (216)
Formation energy (eV per atom): 0.078
Fermi-level density of states (states/eV/cell): 7.17

---

Entry from Alexandria: an optimized crystal structure of Ac2ScZn4Ga3 (PBE).

Cell lengths 4.441, 4.441, 11.207 Å; angles 90.00, 90.00, 90.00 degrees
Element x y z (fractional)
1 Ac 0.500 0.000 0.233
2 Ac 0.000 0.500 0.767
3 Sc 0.500 0.500 0.500
4 Zn 0.500 0.500 0.000
5 Zn 0.000 0.000 0.000
6 Zn 0.500 0.000 0.647
7 Zn 0.000 0.500 0.353
8 Ga 0.000 0.000 0.500
9 Ga 0.500 0.000 0.876
10 Ga 0.000 0.500 0.124

Computed properties:
Space-group type: P-4m2 (115)
Formation energy (eV per atom): -0.412
Fermi-level density of states (states/eV/cell): 6.90

---

Entry from Alexandria: an optimized crystal structure of AcScZnGa (PBE).

Cell lengths 5.202, 5.202, 5.202 Å; angles 60.00, 60.00, 60.00 degrees
Element x y z (fractional)
1 Sc 0.500 0.500 0.500
2 Ac 0.000 0.000 0.000
3 Zn 0.250 0.250 0.250
4 Ga 0.750 0.750 0.750

Computed properties:
Space-group type: F-43m (216)
Formation energy (eV per atom): -0.317
Fermi-level density of states (states/eV/cell): 4.07

---

Entry from Alexandria: an optimized crystal structure of Ac12Ga3Se5 (PBE).

Cell lengths 16.141, 16.141, 16.141 Å; angles 109.47, 109.47, 109.47 degrees
Element x y z (fractional)
1 Ga 0.750 0.375 0.125
2 Ga 0.875 0.750 0.125
3 Ga 0.375 0.750 0.625
4 Ga 0.250 0.125 0.375
5 Ga 0.875 0.125 0.250
6 Ga 0.375 0.625 0.250
7 Ga 0.625 0.375 0.750
8 Ga 0.125 0.875 0.750
9 Ga 0.750 0.875 0.625
10 Ga 0.625 0.250 0.375
11 Ga 0.125 0.250 0.875
12 Ga 0.250 0.625 0.875
13 Se 0.125 0.375 0.250
14 Se 0.000 0.500 0.000
15 Se 0.000 0.000 0.000
16 Se 0.375 0.250 0.125
17 Se 0.500 0.000 0.500
18 Se 0.500 0.500 0.000
19 Se 0.125 0.750 0.375
20 Se 0.750 0.125 0.875
21 Se 0.750 0.625 0.375
22 Se 0.375 0.125 0.750
23 Se 0.625 0.875 0.250
24 Se 0.500 0.500 0.500
25 Se 0.500 0.000 0.000
26 Se 0.000 0.000 0.500
27 Se 0.250 0.375 0.625
28 Se 0.250 0.875 0.125
29 Se 0.000 0.500 0.500
30 Se 0.875 0.250 0.625
31 Se 0.625 0.750 0.875
32 Se 0.875 0.625 0.750
33 Ac 0.721 0.126 0.046
34 Ac 0.325 0.546 0.420
35 Ac 0.954 0.374 0.279
36 Ac 0.546 0.221 0.126
37 Ac 0.595 0.721 0.675
38 Ac 0.954 0.580 0.175
39 Ac 0.325 0.779 0.405
40 Ac 0.080 0.905 0.126
41 Ac 0.580 0.954 0.675
42 Ac 0.721 0.595 0.175
43 Ac 0.779 0.454 0.374
44 Ac 0.825 0.920 0.046
45 Ac 0.126 0.721 0.546
46 Ac 0.374 0.420 0.095
47 Ac 0.095 0.920 0.374
48 Ac 0.405 0.126 0.580
49 Ac 0.095 0.175 0.221
50 Ac 0.454 0.675 0.080
51 Ac 0.825 0.905 0.279
52 Ac 0.126 0.405 0.080
53 Ac 0.374 0.954 0.779
54 Ac 0.580 0.626 0.405
55 Ac 0.920 0.825 0.546
56 Ac 0.779 0.325 0.905
57 Ac 0.420 0.374 0.595
58 Ac 0.080 0.175 0.454
59 Ac 0.221 0.675 0.095
60 Ac 0.175 0.095 0.721
61 Ac 0.626 0.046 0.221
62 Ac 0.874 0.595 0.920
63 Ac 0.546 0.325 0.920
64 Ac 0.595 0.874 0.420
65 Ac 0.905 0.825 0.779
66 Ac 0.905 0.080 0.626
67 Ac 0.874 0.279 0.454
68 Ac 0.175 0.080 0.954
69 Ac 0.626 0.580 0.905
70 Ac 0.420 0.046 0.325
71 Ac 0.279 0.405 0.825
72 Ac 0.221 0.546 0.626
73 Ac 0.920 0.095 0.874
74 Ac 0.675 0.221 0.595
75 Ac 0.454 0.779 0.874
76 Ac 0.046 0.420 0.825
77 Ac 0.405 0.279 0.325
78 Ac 0.046 0.626 0.721
79 Ac 0.675 0.454 0.580
80 Ac 0.279 0.874 0.954

Computed properties:
Space-group type: Ia-3d (230)
Energy relative to the elements, uncorrected (eV per atom): -0.73
Fermi-level density of states (states/eV/cell): 86.80

---

Entry from Alexandria: an optimized crystal structure of Ac5Ga2Se12 (PBE).

Cell lengths 7.506, 9.338, 9.785 Å; angles 104.63, 90.00, 113.70 degrees
Site moments in Bohr magnetons follow the coordinates.
Element x y z (fractional)
1 Ac 0.303 0.606 0.648  0.01
2 Ac 0.313 0.627 0.163  0.01
3 Ac 0.000 0.000 0.500  0.01
4 Ac 0.687 0.373 0.837  0.01
5 Ac 0.697 0.394 0.352  0.01
6 Ga 0.740 0.000 0.000  -0.01
7 Ga 0.260 0.000 0.000  -0.01
8 Se 0.011 0.021 0.182  0.30
9 Se 0.086 0.678 0.919  0.12
10 Se 0.592 0.678 0.919  0.12
11 Se 0.099 0.700 0.427  0.02
12 Se 0.601 0.700 0.427  0.02
13 Se 0.497 0.994 0.808  0.03
14 Se 0.503 0.006 0.192  0.03
15 Se 0.901 0.300 0.573  0.02
16 Se 0.399 0.300 0.573  0.02
17 Se 0.914 0.322 0.081  0.12
18 Se 0.408 0.322 0.081  0.12
19 Se 0.989 0.979 0.818  0.30

Computed properties:
Space-group type: C2/m (12)
Energy relative to the elements, uncorrected (eV per atom): -1.33
Fermi-level density of states (states/eV/cell): 11.65

---

Entry from Alexandria: an optimized crystal structure of AcGaSe3 (PBE).

Cell lengths 4.707, 8.020, 8.022 Å; angles 71.90, 88.93, 88.93 degrees
Element x y z (fractional)
1 Ac 0.986 0.181 0.620
2 Ac 0.499 0.723 0.162
3 Ga 0.742 0.634 0.709
4 Ga 0.742 0.270 0.073
5 Se 0.489 0.351 0.790
6 Se 0.996 0.553 0.992
7 Se 0.493 0.290 0.331
8 Se 0.493 0.892 0.730
9 Se 0.992 0.013 0.053
10 Se 0.992 0.614 0.452

Computed properties:
Space-group type: C2/m (12)
Energy relative to the elements, uncorrected (eV per atom): -1.28

---

Entry from Alexandria: an optimized crystal structure of AcGaSe (PBE).

Cell lengths 4.336, 4.336, 5.695 Å; angles 112.37, 112.37, 90.00 degrees
Element x y z (fractional)
1 Ac 0.023 0.023 0.046
2 Se 0.621 0.621 0.242
3 Ga 0.356 0.356 0.711

Computed properties:
Space-group type: I4mm (107)
Energy relative to the elements, uncorrected (eV per atom): -0.85
Excess energy over the best structure of this formula in the dataset (meV/atom): 245
Fermi-level density of states (states/eV/cell): 2.09

---

Entry from Alexandria: an optimized crystal structure of Ac2GaSe4 (PBE).

Cell lengths 7.174, 7.174, 6.485 Å; angles 123.58, 123.58, 90.00 degrees
Element x y z (fractional)
1 Ac 0.750 0.250 0.500
2 Ac 0.250 0.750 0.500
3 Ga 0.500 0.500 0.000
4 Se 0.753 0.247 0.000
5 Se 0.247 0.753 0.000
6 Se 0.753 0.753 0.000
7 Se 0.247 0.247 0.000

Computed properties:
Space-group type: I4/mmm (139)
Energy relative to the elements, uncorrected (eV per atom): -1.40
Fermi-level density of states (states/eV/cell): 1.59

---

Entry from Alexandria: an optimized crystal structure of Ac3GaSe6 (PBE).

Cell lengths 7.228, 9.616, 9.616 Å; angles 102.48, 90.00, 90.00 degrees
Element x y z (fractional)
1 Ac 0.477 0.916 0.714
2 Ac 0.977 0.714 0.916
3 Ac 0.406 0.395 0.605
4 Ac 0.906 0.605 0.395
5 Ac 0.977 0.084 0.286
6 Ac 0.477 0.286 0.084
7 Ga 0.026 0.196 0.804
8 Ga 0.526 0.804 0.196
9 Se 0.193 0.682 0.638
10 Se 0.693 0.638 0.682
11 Se 0.184 0.421 0.901
12 Se 0.684 0.901 0.421
13 Se 0.156 0.042 0.958
14 Se 0.689 0.215 0.785
15 Se 0.189 0.785 0.215
16 Se 0.656 0.958 0.042
17 Se 0.184 0.099 0.579
18 Se 0.684 0.579 0.099
19 Se 0.193 0.362 0.318
20 Se 0.693 0.318 0.362

Computed properties:
Space-group type: Cmc2_1 (36)
Energy relative to the elements, uncorrected (eV per atom): -1.69
Fermi-level density of states (states/eV/cell): 0.00